# 1
# Dy2TlHg5, optimized geometry, DFT PBE-GGA
data_Dy2TlHg5
_chemical_formula_sum 'Dy4 Tl2 Hg10'
_space_group_name_H-M_alt 'P 1'
_space_group_IT_number 1
_cell_length_a 4.388
_cell_length_b 6.705
_cell_length_c 13.479
_cell_angle_alpha 90.00
_cell_angle_beta 90.00
_cell_angle_gamma 90.00
loop_
_space_group_symop_operation_xyz
'x,y,z'
loop_
_atom_site_label
_atom_site_fract_x
_atom_site_fract_y
_atom_site_fract_z
_atom_site_occupancy
Dy1 0.500 0.257 0.627 1
Dy2 0.500 0.743 0.373 1
Dy3 0.500 0.243 0.127 1
Dy4 0.500 0.757 0.873 1
Tl1 0.000 0.000 0.500 1
Tl2 0.000 0.500 0.000 1
Hg1 0.000 0.000 0.000 1
Hg2 0.000 0.500 0.500 1
Hg3 0.000 0.505 0.750 1
Hg4 0.000 0.495 0.250 1
Hg5 0.000 0.995 0.250 1
Hg6 0.000 0.005 0.750 1
Hg7 0.500 0.247 0.872 1
Hg8 0.500 0.753 0.128 1
Hg9 0.500 0.253 0.372 1
Hg10 0.500 0.747 0.628 1
# * space group: Pbam, No. 55
# * calculated volume: 396.59 Å³/cell
# * formation energy from the elements: -2.335 eV per formula unit

# 2
# Dy8TlHg2, optimized geometry, DFT PBE-GGA
data_Dy8TlHg2
_chemical_formula_sum 'Dy8 Tl1 Hg2'
_space_group_name_H-M_alt 'P 1'
_space_group_IT_number 1
_cell_length_a 5.040
_cell_length_b 8.427
_cell_length_c 8.909
_cell_angle_alpha 118.22
_cell_angle_beta 106.43
_cell_angle_gamma 90.00
loop_
_space_group_symop_operation_xyz
'x,y,z'
loop_
_atom_site_label
_atom_site_fract_x
_atom_site_fract_y
_atom_site_fract_z
_atom_site_occupancy
Tl1 0.500 0.000 0.000 1
Hg1 0.198 0.698 0.396 1
Hg2 0.802 0.302 0.604 1
Dy1 0.662 0.881 0.325 1
Dy2 0.338 0.557 0.675 1
Dy3 0.137 0.137 0.274 1
Dy4 0.000 0.311 0.000 1
Dy5 0.863 0.863 0.726 1
Dy6 0.662 0.443 0.325 1
Dy7 0.338 0.119 0.675 1
Dy8 0.000 0.689 0.000 1
# * space group: Immm, No. 71
# * calculated volume: 315.78 Å³/cell
# * excess energy over the best structure of this formula in the dataset: 0.0 meV per atom
# * formation energy from the elements: -1.686 eV per formula unit

# 3
# Dy2Tl3Hg3, optimized geometry, DFT PBE-GGA
data_Dy2Tl3Hg3
_chemical_formula_sum 'Dy2 Tl3 Hg3'
_space_group_name_H-M_alt 'P 1'
_space_group_IT_number 1
_cell_length_a 4.451
_cell_length_b 4.810
_cell_length_c 9.567
_cell_angle_alpha 90.00
_cell_angle_beta 90.00
_cell_angle_gamma 90.00
loop_
_space_group_symop_operation_xyz
'x,y,z'
loop_
_atom_site_label
_atom_site_fract_x
_atom_site_fract_y
_atom_site_fract_z
_atom_site_occupancy
Dy1 0.000 0.000 0.751 1
Dy2 0.000 0.000 0.249 1
Tl1 0.500 0.000 0.500 1
Tl2 0.000 0.500 0.000 1
Tl3 0.000 0.500 0.500 1
Hg1 0.500 0.500 0.750 1
Hg2 0.500 0.500 0.250 1
Hg3 0.500 0.000 0.000 1
# * space group: Pmmm, No. 47
# * calculated volume: 204.84 Å³/cell
# * formation energy from the elements: -2.102 eV per formula unit

# 4
# Dy6Tl5Hg, optimized geometry, DFT PBE-GGA
data_Dy6Tl5Hg
_chemical_formula_sum 'Dy6 Tl5 Hg1'
_space_group_name_H-M_alt 'P 1'
_space_group_IT_number 1
_cell_length_a 5.372
_cell_length_b 7.488
_cell_length_c 8.510
_cell_angle_alpha 90.00
_cell_angle_beta 71.42
_cell_angle_gamma 90.00
loop_
_space_group_symop_operation_xyz
'x,y,z'
loop_
_atom_site_label
_atom_site_fract_x
_atom_site_fract_y
_atom_site_fract_z
_atom_site_occupancy
Tl1 0.668 0.500 0.665 1
Tl2 0.335 0.000 0.330 1
Tl3 0.000 0.500 0.000 1
Tl4 0.665 0.000 0.670 1
Tl5 0.332 0.500 0.335 1
Hg1 0.000 0.000 0.000 1
Dy1 0.835 0.752 0.330 1
Dy2 0.835 0.248 0.330 1
Dy3 0.500 0.247 0.000 1
Dy4 0.500 0.753 0.000 1
Dy5 0.165 0.752 0.670 1
Dy6 0.165 0.248 0.670 1
# * space group: P2/m, No. 10
# * calculated volume: 324.50 Å³/cell
# * excess energy over the best structure of this formula in the dataset: 0.0 meV per atom
# * formation energy from the elements: -4.395 eV per formula unit

# 5
# Dy5Tl4Hg, optimized geometry, DFT PBE-GGA
data_Dy5Tl4Hg
_chemical_formula_sum 'Dy5 Tl4 Hg1'
_space_group_name_H-M_alt 'P 1'
_space_group_IT_number 1
_cell_length_a 3.740
_cell_length_b 3.740
_cell_length_c 19.321
_cell_angle_alpha 90.00
_cell_angle_beta 90.00
_cell_angle_gamma 90.00
loop_
_space_group_symop_operation_xyz
'x,y,z'
loop_
_atom_site_label
_atom_site_fract_x
_atom_site_fract_y
_atom_site_fract_z
_atom_site_occupancy
Dy1 0.500 0.500 0.094 1
Dy2 0.500 0.500 0.297 1
Dy3 0.500 0.500 0.500 1
Dy4 0.500 0.500 0.703 1
Dy5 0.500 0.500 0.906 1
Tl1 0.000 0.000 0.195 1
Tl2 0.000 0.000 0.399 1
Tl3 0.000 0.000 0.601 1
Tl4 0.000 0.000 0.805 1
Hg1 0.000 0.000 0.000 1
# * space group: P4/mmm, No. 123
# * calculated volume: 270.23 Å³/cell
# * formation energy from the elements: -3.687 eV per formula unit

# 6
# Dy6Tl3Hg, optimized geometry, DFT PBE-GGA
data_Dy6Tl3Hg
_chemical_formula_sum 'Dy12 Tl6 Hg2'
_space_group_name_H-M_alt 'P 1'
_space_group_IT_number 1
_cell_length_a 5.292
_cell_length_b 9.530
_cell_length_c 11.598
_cell_angle_alpha 107.12
_cell_angle_beta 90.00
_cell_angle_gamma 90.00
loop_
_space_group_symop_operation_xyz
'x,y,z'
loop_
_atom_site_label
_atom_site_fract_x
_atom_site_fract_y
_atom_site_fract_z
_atom_site_occupancy
Dy1 0.250 0.461 0.094 1
Dy2 0.750 0.539 0.906 1
Dy3 0.250 0.130 0.166 1
Dy4 0.750 0.870 0.834 1
Dy5 0.250 0.655 0.682 1
Dy6 0.750 0.345 0.318 1
Dy7 0.250 0.236 0.499 1
Dy8 0.750 0.764 0.501 1
Dy9 0.250 0.851 0.319 1
Dy10 0.750 0.149 0.681 1
Dy11 0.250 0.103 0.878 1
Dy12 0.750 0.897 0.122 1
Tl1 0.250 0.531 0.391 1
Tl2 0.750 0.469 0.609 1
Tl3 0.250 0.373 0.786 1
Tl4 0.750 0.627 0.214 1
Tl5 0.250 0.780 0.974 1
Tl6 0.750 0.220 0.026 1
Hg1 0.250 0.940 0.612 1
Hg2 0.750 0.060 0.388 1
# * space group: P2_1/m, No. 11
# * calculated volume: 559.05 Å³/cell
# * formation energy from the elements: -2.801 eV per formula unit

- calculated volume of number 5 (Dy5Tl4Hg)?
  270.23 Å³/cell